1.
GGA+U Li3CrB2O6, optimized geometry; total magnetization = 0.25 μB/atom; DOS at the Fermi energy = 0.000 states/eV/atom; energy = -6.92 eV/atom
1.0
5.255 -0.002 0.000
0.237 5.820 -0.009
0.195 1.348 7.334
O Cr Li B
12 2 6 4
Direct
0.741 0.463 0.246
0.662 0.956 0.333
0.859 0.718 0.980
0.916 0.225 0.636
0.409 0.709 0.079
0.084 0.775 0.364
0.338 0.044 0.667
0.591 0.291 0.921
0.259 0.537 0.754
0.240 0.288 0.389
0.141 0.282 0.020
0.760 0.712 0.611
0.105 0.537 0.203
0.895 0.463 0.797
0.319 0.016 0.233
0.386 0.758 0.547
0.202 0.835 0.866
0.681 0.984 0.767
0.614 0.242 0.453
0.798 0.165 0.134
0.656 0.633 0.104
0.837 0.811 0.434
0.163 0.189 0.566
0.344 0.367 0.896

2.
GGA+U Li3CrB2O6, optimized geometry; total magnetization = 0.25 μB/atom; DOS at the Fermi energy = 0.000 states/eV/atom; energy = -6.95 eV/atom
1.0
-3.542 -4.611 -1.238
1.069 -3.084 8.426
-6.356 3.121 6.562
O Li B Cr
24 12 8 4
Direct
0.766 0.912 0.588
0.414 0.194 0.083
0.266 0.088 0.912
0.762 0.076 0.813
0.086 0.194 0.583
0.738 0.076 0.313
0.566 0.310 0.440
0.234 0.088 0.412
0.066 0.690 0.060
0.764 0.587 0.825
0.736 0.587 0.325
0.934 0.310 0.940
0.774 0.409 0.697
0.914 0.806 0.417
0.238 0.924 0.187
0.274 0.591 0.803
0.734 0.912 0.088
0.226 0.591 0.303
0.434 0.690 0.560
0.586 0.806 0.917
0.262 0.924 0.687
0.236 0.413 0.175
0.726 0.409 0.197
0.264 0.413 0.675
0.740 0.125 0.093
0.988 0.245 0.268
0.512 0.245 0.768
0.278 0.394 0.485
0.240 0.875 0.407
0.012 0.755 0.732
0.260 0.875 0.907
0.722 0.606 0.515
0.778 0.606 0.015
0.760 0.125 0.593
0.222 0.394 0.985
0.488 0.755 0.232
0.302 0.070 0.062
0.683 0.441 0.323
0.698 0.930 0.938
0.198 0.070 0.562
0.183 0.559 0.177
0.317 0.559 0.677
0.802 0.930 0.438
0.817 0.441 0.823
0.978 0.765 0.225
0.022 0.235 0.775
0.478 0.235 0.275
0.522 0.765 0.725

3.
GGA+U LiCrBO4, optimized geometry; total magnetization = 0.29 μB/atom; DOS at the Fermi energy = 0.240 states/eV/atom; energy = -6.98 eV/atom
1.0
-2.825 1.004 -4.930
-5.295 -0.977 -0.541
-3.668 3.951 -0.470
Cr B Li O
2 2 2 8
Direct
0.000 0.000 0.500
0.500 0.000 0.500
0.617 0.633 0.133
0.383 0.367 0.867
0.000 0.500 0.500
0.000 0.000 0.000
0.259 0.255 0.226
0.259 0.726 0.755
0.741 0.745 0.774
0.276 0.258 0.758
0.724 0.742 0.242
0.741 0.274 0.245
0.709 0.258 0.758
0.291 0.742 0.242

> Which formula does entry 2 have?

Li3CrB2O6

> Among the records above, which one has the highest total magnetization?

LiCrBO4